Arrangement a

The following is a DFT calculation (PBE-GGA) of a relaxed structure of Dy7Ho4Er.

Cell lengths 5.8380, 11.4582, 6.6416 Å; angles 83.65, 63.93, 75.24 degrees
Sites, in units of the cell vectors:
1 Ho 0.2412 0.3205 0.1972
2 Ho 0.3616 0.7754 0.5014
3 Ho 0.6384 0.2246 0.4986
4 Ho 0.7588 0.6795 0.8028
5 Dy 0.9374 0.3187 0.8065
6 Dy 0.2118 0.0762 0.5002
7 Dy 0.0626 0.6813 0.1935
8 Dy 0.5000 0.0000 0.0000
9 Dy 0.7882 0.9238 0.4998
10 Dy 0.3672 0.4998 0.7657
11 Dy 0.6328 0.5002 0.2343
12 Er 0.0000 0.0000 0.0000

Output
Density, g/cm3: 8.45
Space group: C2/m, No. 12


Arrangement b

The following is a DFT calculation (PBE-GGA) of a relaxed structure of Dy7Ho4Er.

Cell lengths 6.7405, 6.4412, 11.5895 Å; angles 75.10, 50.69, 82.16 degrees
Sites, in units of the cell vectors:
1 Dy 0.2821 0.8078 0.6127
2 Dy 0.9399 0.6863 0.3592
3 Dy 0.5000 0.0000 0.0000
4 Dy 0.7179 0.1922 0.3873
5 Dy 0.0601 0.3137 0.6408
6 Dy 0.1970 0.4863 0.0519
7 Dy 0.8030 0.5137 0.9481
8 Er 0.0000 0.0000 0.0000
9 Ho 0.4776 0.3588 0.7161
10 Ho 0.6961 0.8403 0.6889
11 Ho 0.5224 0.6412 0.2839
12 Ho 0.3039 0.1597 0.3111

Output
Density, g/cm3: 8.68
Space group: P-1, No. 2


It comes down to arrangement b, which is 0.204 eV/atom more stable than the next structure.


Arrangement a

The following is a DFT calculation (PBE-GGA) of a relaxed structure of DyHo4Er.

Cell lengths 3.5284, 9.3336, 11.3892 Å; angles 90.00, 90.00, 100.90 degrees
Sites, in units of the cell vectors:
1 Ho 0.6666 0.3333 0.2681
2 Ho 0.5555 0.1110 0.0186
3 Ho 0.4445 0.8890 0.5186
4 Ho 0.3334 0.6667 0.7681
5 Ho 0.8887 0.7774 0.0185
6 Ho 0.1113 0.2226 0.5185
7 Ho 0.9999 0.9998 0.7686
8 Ho 0.0001 0.0001 0.2686
9 Dy 0.3332 0.6664 0.2688
10 Dy 0.6668 0.3336 0.7688
11 Er 0.7778 0.5557 0.5184
12 Er 0.2222 0.4443 0.0184

Output
Density, g/cm3: 8.92
Space group: Cmc2_1, No. 36


Arrangement b

The following is a DFT calculation (PBE-GGA) of a relaxed structure of DyHo4Er.

Cell lengths 3.5130, 11.1212, 11.6504 Å; angles 149.09, 90.27, 71.31 degrees
Sites, in units of the cell vectors:
1 Er 0.0000 0.0000 0.0000
2 Ho 0.6673 0.3328 0.0000
3 Ho 0.3327 0.6672 0.9999
4 Ho 0.8339 0.6662 0.5001
5 Ho 0.1660 0.3338 0.4999
6 Dy 0.5000 0.0000 0.5000

Output
Density, g/cm3: 8.92
Space group: P2/m, No. 10


Arrangement c

The following is a DFT calculation (PBE-GGA) of a relaxed structure of DyHo4Er.

Cell lengths 6.5019, 6.5019, 6.5019 Å; angles 60.00, 60.00, 60.00 degrees
Each line ends with the local moment (μB).
Sites, in units of the cell vectors:
1 Ho 0.6250 0.6250 0.6250  0.01
2 Ho 0.6250 0.1250 0.6250  0.01
3 Ho 0.1250 0.6250 0.6250  0.01
4 Ho 0.6250 0.6250 0.1250  0.01
5 Er 0.0000 0.0000 0.0000  0.05
6 Dy 0.2500 0.2500 0.2500  0.06

Output
Density, g/cm3: 8.45
Space group: F-43m, No. 216


It comes down to arrangement a, which is 0.016 eV/atom more stable than the next structure.


Arrangement a

The following is a DFT calculation (PBE-GGA) of a relaxed structure of Dy2HoEr2.

Cell lengths 9.1942, 9.1942, 3.6869 Å; angles 90.00, 90.00, 90.00 degrees
Sites, in units of the cell vectors:
1 Er 0.8294 0.6706 0.5000
2 Er 0.6706 0.1706 0.5000
3 Er 0.1706 0.3294 0.5000
4 Er 0.3294 0.8294 0.5000
5 Dy 0.6278 0.8722 0.0000
6 Dy 0.1278 0.6278 0.0000
7 Dy 0.3722 0.1278 0.0000
8 Dy 0.8722 0.3722 0.0000
9 Ho 0.0000 0.0000 0.0000
10 Ho 0.5000 0.5000 0.0000

Output
Density, g/cm3: 8.79
Space group: P4/mbm, No. 127


Arrangement b

The following is a DFT calculation (PBE-GGA) of a relaxed structure of Dy2HoEr2.

Cell lengths 4.9725, 6.0860, 11.1160 Å; angles 89.95, 90.09, 114.13 degrees
Sites, in units of the cell vectors:
1 Ho 0.2500 0.5000 0.7504
2 Ho 0.7500 0.5000 0.2496
3 Dy 0.4502 0.9004 0.1498
4 Dy 0.5498 0.0996 0.8502
5 Dy 0.3502 0.7004 0.4500
6 Dy 0.6498 0.2996 0.5500
7 Er 0.1502 0.3004 0.0500
8 Er 0.9498 0.8996 0.6502
9 Er 0.8498 0.6996 0.9500
10 Er 0.0502 0.1004 0.3498

Output
Density, g/cm3: 8.92
Space group: P-1, No. 2


It comes down to arrangement b, which is 0.072 eV/atom more stable than the next structure.


Arrangement a

The following is a DFT calculation (PBE-GGA) of a relaxed structure of Dy2Ho7Er2.

Cell lengths 5.9818, 11.0495, 7.9319 Å; angles 45.85, 105.95, 113.23 degrees
Sites, in units of the cell vectors:
1 Ho 0.0000 0.0000 0.0000
2 Ho 0.1752 0.4105 0.5275
3 Ho 0.4151 0.7684 0.0000
4 Ho 0.1752 0.9381 0.4725
5 Ho 0.8248 0.5895 0.4725
6 Ho 0.5849 0.2316 0.0000
7 Ho 0.8248 0.0619 0.5275
8 Dy 0.5000 0.2161 0.5678
9 Dy 0.5000 0.7839 0.4322
10 Er 0.1963 0.4110 0.0000
11 Er 0.8037 0.5890 0.0000

Output
Density, g/cm3: 8.71
Space group: C2/m, No. 12


Arrangement b

The following is a DFT calculation (PBE-GGA) of a relaxed structure of Dy2Ho7Er2.

Cell lengths 8.5587, 6.4279, 6.4279 Å; angles 92.96, 82.40, 82.40 degrees
Sites, in units of the cell vectors:
1 Ho 0.7912 0.9191 0.5529
2 Ho 0.0000 0.0000 0.0000
3 Ho 0.7912 0.5529 0.9191
4 Ho 0.2088 0.0809 0.4471
5 Ho 0.2088 0.4471 0.0809
6 Ho 0.4081 0.8482 0.8482
7 Ho 0.5919 0.1518 0.1518
8 Dy 0.5000 0.6768 0.3232
9 Dy 0.5000 0.3232 0.6768
10 Er 0.8565 0.3951 0.3951
11 Er 0.1435 0.6049 0.6049

Output
Density, g/cm3: 8.69
Space group: C2/m, No. 12


It comes down to arrangement b, which is 0.049 eV/atom more stable than the next structure.


Arrangement a

The following is a DFT calculation (PBE-GGA) of a relaxed structure of Dy3Ho5Er.

Cell lengths 9.1561, 10.3963, 7.1807 Å; angles 110.21, 90.00, 116.13 degrees
Sites, in units of the cell vectors:
1 Ho 0.8432 0.3233 0.6601
2 Ho 0.6961 0.0000 0.2500
3 Ho 0.1567 0.6768 0.8367
4 Ho 0.5200 0.6768 0.3367
5 Ho 0.1568 0.6767 0.3399
6 Ho 0.3039 0.0000 0.7500
7 Ho 0.8433 0.3232 0.1633
8 Ho 0.4800 0.3232 0.6633
9 Ho 0.5200 0.6767 0.8399
10 Ho 0.4800 0.3233 0.1601
11 Er 0.6640 0.0000 0.7500
12 Er 0.3360 0.0000 0.2500
13 Dy 0.0000 0.0000 0.0000
14 Dy 0.8112 0.6246 0.5623
15 Dy 0.1888 0.3754 0.4377
16 Dy 0.8134 0.6246 0.0623
17 Dy 0.1866 0.3754 0.9377
18 Dy 0.0000 0.0000 0.5000

Output
Density, g/cm3: 8.67
Space group: Imma, No. 74


Arrangement b

The following is a DFT calculation (PBE-GGA) of a relaxed structure of Dy3Ho5Er.

Cell lengths 9.4034, 9.4034, 11.4654 Å; angles 52.83, 52.83, 73.91 degrees
Sites, in units of the cell vectors:
1 Ho 0.5100 0.5100 0.7683
2 Ho 0.1523 0.6555 0.7483
3 Ho 0.8155 0.8155 0.9623
4 Ho 0.2586 0.7414 0.0000
5 Ho 0.7414 0.2586 0.0000
6 Ho 0.6555 0.1523 0.7483
7 Ho 0.3445 0.8477 0.2517
8 Ho 0.8477 0.3445 0.2517
9 Ho 0.4900 0.4900 0.2317
10 Ho 0.1845 0.1845 0.0377
11 Dy 0.6947 0.6947 0.8151
12 Dy 0.0000 0.0000 0.0000
13 Dy 0.3053 0.3053 0.1849
14 Dy 0.3413 0.3413 0.6382
15 Dy 0.6587 0.6587 0.3618
16 Dy 0.0000 0.0000 0.5000
17 Er 0.1483 0.1483 0.6007
18 Er 0.8517 0.8517 0.3993

Output
Density, g/cm3: 7.71
Space group: C2/m, No. 12


It comes down to arrangement a, which is 0.396 eV/atom more stable than the next structure.


Arrangement a

The following is a DFT calculation (PBE-GGA) of a relaxed structure of Dy8Ho4Er3.

Cell lengths 6.6841, 9.1843, 9.1843 Å; angles 87.59, 111.36, 111.36 degrees
Sites, in units of the cell vectors:
1 Dy 0.4732 0.7331 0.7331
2 Dy 0.5000 0.2518 0.7482
3 Dy 0.5000 0.7482 0.2518
4 Dy 0.0052 0.2676 0.2676
5 Dy 0.0000 0.6418 0.3582
6 Dy 0.9948 0.7324 0.7324
7 Dy 0.5268 0.2669 0.2669
8 Dy 0.0000 0.3582 0.6418
9 Ho 0.0000 0.5000 0.0000
10 Ho 0.0000 0.0000 0.5000
11 Ho 0.0000 0.0000 0.0000
12 Ho 0.5000 0.0000 0.0000
13 Er 0.5000 0.5000 0.0000
14 Er 0.5000 0.0000 0.5000
15 Er 0.5000 0.5000 0.5000

Output
Density, g/cm3: 8.40
Space group: C2/m, No. 12


Arrangement b

The following is a DFT calculation (PBE-GGA) of a relaxed structure of Dy8Ho4Er3.

Cell lengths 6.8654, 6.8654, 12.3096 Å; angles 73.81, 73.81, 60.00 degrees
Sites, in units of the cell vectors:
1 Dy 0.2450 0.2450 0.2651
2 Dy 0.7503 0.2478 0.2516
3 Dy 0.7503 0.7503 0.2516
4 Dy 0.7550 0.7550 0.7349
5 Dy 0.7522 0.2497 0.7484
6 Dy 0.2478 0.7503 0.2516
7 Dy 0.2497 0.2497 0.7484
8 Dy 0.2497 0.7522 0.7484
9 Ho 0.3362 0.3362 0.9913
10 Ho 0.0000 0.0000 0.0000
11 Ho 0.6638 0.6638 0.0087
12 Ho 0.5000 0.5000 0.5000
13 Er 0.0000 0.0000 0.5000
14 Er 0.0000 0.5000 0.5000
15 Er 0.5000 0.0000 0.5000

Output
Density, g/cm3: 8.59
Space group: R-3m, No. 166


It comes down to arrangement b, which is 0.258 eV/atom more stable than the next structure.


Arrangement a

The following is a DFT calculation (PBE-GGA) of a relaxed structure of DyHo6Er3.

Cell lengths 6.1199, 10.8508, 10.8508 Å; angles 119.76, 90.00, 90.00 degrees
Sites, in units of the cell vectors:
1 Ho 0.1432 0.7160 0.2840
2 Ho 0.4202 0.9521 0.0479
3 Ho 0.9202 0.0479 0.9521
4 Ho 0.8608 0.4606 0.0406
5 Ho 0.6432 0.2840 0.7160
6 Ho 0.5329 0.6183 0.7109
7 Ho 0.5329 0.2891 0.3817
8 Ho 0.3608 0.0406 0.4606
9 Ho 0.3608 0.5394 0.9594
10 Ho 0.0329 0.7109 0.6183
11 Ho 0.0329 0.3817 0.2891
12 Ho 0.8608 0.9594 0.5394
13 Er 0.4559 0.9379 0.7202
14 Er 0.9559 0.0621 0.2798
15 Er 0.5720 0.6099 0.3901
16 Er 0.0720 0.3901 0.6099
17 Er 0.4559 0.2798 0.0621
18 Er 0.9559 0.7202 0.9379
19 Dy 0.6507 0.7922 0.2078
20 Dy 0.1507 0.2078 0.7922

Output
Density, g/cm3: 8.78
Space group: Cmc2_1, No. 36


Arrangement b

The following is a DFT calculation (PBE-GGA) of a relaxed structure of DyHo6Er3.

Cell lengths 6.3001, 11.4034, 11.4034 Å; angles 130.62, 90.00, 90.00 degrees
Sites, in units of the cell vectors:
1 Ho 0.3186 0.9848 0.0152
2 Ho 0.8186 0.0152 0.9848
3 Ho 0.8281 0.8954 0.4574
4 Ho 0.3281 0.1046 0.5426
5 Ho 0.7867 0.3011 0.6989
6 Ho 0.5690 0.6214 0.7415
7 Ho 0.0690 0.7415 0.6214
8 Ho 0.2867 0.6989 0.3011
9 Ho 0.5690 0.2585 0.3786
10 Ho 0.8281 0.5426 0.1046
11 Ho 0.0690 0.3786 0.2585
12 Ho 0.3281 0.4574 0.8954
13 Er 0.4888 0.9576 0.7044
14 Er 0.5938 0.5807 0.4193
15 Er 0.9888 0.0424 0.2956
16 Er 0.0938 0.4193 0.5807
17 Er 0.9888 0.7044 0.9576
18 Er 0.4888 0.2956 0.0424
19 Dy 0.5145 0.8386 0.1614
20 Dy 0.0145 0.1614 0.8386

Output
Density, g/cm3: 8.83
Space group: Cmc2_1, No. 36


It comes down to arrangement b, which is 0.024 eV/atom more stable than the next structure.


Arrangement a

The following is a DFT calculation (PBE-GGA) of a relaxed structure of Dy2HoEr7.

Cell lengths 6.0809, 9.2690, 9.2798 Å; angles 141.80, 70.90, 102.63 degrees
Sites, in units of the cell vectors:
1 Er 0.5001 0.6999 0.7996
2 Er 0.9996 0.2003 0.8004
3 Er 0.9999 0.4003 0.6003
4 Er 0.0001 0.5997 0.3997
5 Er 0.4999 0.3001 0.2004
6 Er 0.5000 0.5000 0.0000
7 Er 0.0004 0.7997 0.1996
8 Dy 0.4999 0.9001 0.6001
9 Dy 0.5001 0.0999 0.3999
10 Ho 0.0000 0.0000 0.0000

Output
Density, g/cm3: 9.04
Space group: P-1, No. 2


Arrangement b

The following is a DFT calculation (PBE-GGA) of a relaxed structure of Dy2HoEr7.

Cell lengths 5.1138, 9.5468, 9.5468 Å; angles 126.43, 90.00, 90.00 degrees
Sites, in units of the cell vectors:
1 Er 0.5000 0.2870 0.0709
2 Er 0.5000 0.5000 0.5000
3 Er 0.0000 0.8043 0.1957
4 Er 0.0000 0.1957 0.8043
5 Er 0.5000 0.7130 0.9291
6 Er 0.5000 0.0709 0.2870
7 Er 0.5000 0.9291 0.7130
8 Dy 0.5000 0.7012 0.2988
9 Dy 0.5000 0.2988 0.7012
10 Ho 0.0000 0.0000 0.0000

Output
Density, g/cm3: 7.35
Space group: Cmmm, No. 65


It comes down to arrangement a, which is 0.684 eV/atom more stable than the next structure.


Arrangement a

The following is a DFT calculation (PBE-GGA) of a relaxed structure of Dy3Ho6Er.

Cell lengths 6.3080, 11.4383, 11.4383 Å; angles 130.77, 90.00, 90.00 degrees
Sites, in units of the cell vectors:
1 Ho 0.8281 0.8952 0.4573
2 Ho 0.8201 0.0149 0.9851
3 Ho 0.0673 0.3785 0.2569
4 Ho 0.8281 0.5427 0.1048
5 Ho 0.0673 0.7431 0.6215
6 Ho 0.3281 0.1048 0.5427
7 Ho 0.2887 0.6987 0.3013
8 Ho 0.7887 0.3013 0.6987
9 Ho 0.5673 0.6215 0.7431
10 Ho 0.5673 0.2569 0.3785
11 Ho 0.3201 0.9851 0.0149
12 Ho 0.3281 0.4573 0.8952
13 Dy 0.4889 0.2960 0.0412
14 Dy 0.5923 0.5796 0.4204
15 Dy 0.4889 0.9588 0.7040
16 Dy 0.9889 0.0412 0.2960
17 Dy 0.0923 0.4204 0.5796
18 Dy 0.9889 0.7040 0.9588
19 Er 0.0156 0.1611 0.8389
20 Er 0.5156 0.8389 0.1611

Output
Density, g/cm3: 8.74
Space group: Cmc2_1, No. 36


Arrangement b

The following is a DFT calculation (PBE-GGA) of a relaxed structure of Dy3Ho6Er.

Cell lengths 6.1383, 10.8714, 10.8714 Å; angles 119.77, 90.00, 90.00 degrees
Sites, in units of the cell vectors:
1 Ho 0.9190 0.0474 0.9526
2 Ho 0.3616 0.0421 0.4623
3 Ho 0.4190 0.9526 0.0474
4 Ho 0.8616 0.4623 0.0421
5 Ho 0.6426 0.2823 0.7177
6 Ho 0.1426 0.7177 0.2823
7 Ho 0.5353 0.2888 0.3822
8 Ho 0.0353 0.7112 0.6178
9 Ho 0.0353 0.3822 0.2888
10 Ho 0.8616 0.9579 0.5377
11 Ho 0.3616 0.5377 0.9579
12 Ho 0.5353 0.6178 0.7112
13 Dy 0.9574 0.7205 0.9393
14 Dy 0.4574 0.9393 0.7205
15 Dy 0.9574 0.0607 0.2795
16 Dy 0.0698 0.3904 0.6096
17 Dy 0.4574 0.2795 0.0607
18 Dy 0.5698 0.6096 0.3904
19 Er 0.6453 0.7929 0.2071
20 Er 0.1453 0.2071 0.7929

Output
Density, g/cm3: 8.67
Space group: Cmc2_1, No. 36


It comes down to arrangement a, which is 0.026 eV/atom more stable than the next structure.